Entry 1:
Crystalline Nd2ThAu3 at its relaxed geometry, computed with PBE.

The structure in extended XYZ format:
```
6
Lattice="2.6449 -7.9427 0.0000 2.6449 7.9427 0.0000 0.0000 0.0000 3.6674" Properties=species:S:1:pos:R:3 pbc="T T T"
Nd 2.6449 5.2586 0.0000
Nd 2.6449 -5.2586 0.0000
Th 2.6449 0.0000 0.0000
Au 0.0000 0.0000 1.8337
Au 2.6449 2.5963 1.8337
Au 2.6449 -2.5963 1.8337
```

- E_tot: -30.9 eV for the cell shown


Entry 2:
Crystalline HgSN2F at its relaxed geometry, computed with PBE.

The structure in extended XYZ format:
```
5
Lattice="4.3548 0.0000 0.0000 0.0000 4.3548 0.0000 0.0000 0.0000 5.3341" Properties=species:S:1:pos:R:3 pbc="T T T"
Hg 0.0000 0.0000 0.0000
S 0.0000 0.0000 2.6671
N 0.0000 2.1774 0.0000
N 2.1774 0.0000 0.0000
F 2.1774 2.1774 2.6671
```

- Formation energy (no corrections): 9.918 eV/f.u.


Entry 3:
Crystalline CeHfFe4 at its relaxed geometry, computed with PBE.

The structure in extended XYZ format:
```
6
Lattice="0.0000 3.5608 3.5608 3.5608 0.0000 3.5608 3.5608 3.5608 0.0000" Properties=species:S:1:pos:R:3 pbc="T T T"
Ce 0.0000 0.0000 0.0000
Hf 5.3412 5.3412 5.3412
Fe 2.6749 2.6749 2.6749
Fe 4.4468 4.4468 2.6749
Fe 4.4468 2.6749 4.4468
Fe 2.6749 4.4468 4.4468
```

- E_tot: -50.4 eV for the cell shown


no.,calculated density (kg/m³)
1,11977
2,4591
3,9967